1.
Here is an optimized crystal structure of La2NiW from Alexandria via LeMat-Bulk. Energies are from PBE-GGA.

## Properties
DFT formation energy (eV per atom): 0.420
Total energy (eV/atom): -6.73
Energy above the most stable polymorph in this dataset (meV/atom): 200
Space-group type: P4/mmm

Unit cell a=3.550 b=3.550 c=7.410 alpha=90.00 beta=90.00 gamma=90.00
Site moments in Bohr magnetons follow the coordinates.
Positions (direct):
1 La 0.000 0.000 0.489  0.05
2 W 0.500 0.500 0.750  0.86
3 Ni 0.500 0.500 0.250  0.06
4 La 0.000 0.000 0.011  0.05



2.
Here is an optimized crystal structure of RbRuSN2 from Alexandria via LeMat-Bulk. Energies are from PBE-GGA.

## Properties
Total energy (eV/atom): -5.53
Energy above the most stable polymorph in this dataset (meV/atom): 0
Space-group type: P4/mmm
Raw formation energy (meV/atom): 672

Unit cell a=3.986 b=3.986 c=5.103 alpha=90.00 beta=90.00 gamma=90.00
Positions (direct):
1 N 0.000 0.500 0.000
2 Ru 0.000 0.000 0.000
3 N 0.500 0.000 0.000
4 Rb 0.500 0.500 0.500
5 S 0.000 0.000 0.500



3.
Here is an optimized crystal structure of ThNbGe2 from Alexandria via LeMat-Bulk. Energies are from PBE-GGA.

## Properties
DFT formation energy (eV per atom): -0.215
Total energy (eV/atom): -6.90
Energy above the most stable polymorph in this dataset (meV/atom): 237
Space-group type: Amm2

Unit cell a=3.888 b=5.130 c=5.130 alpha=112.88 beta=90.00 gamma=90.00
Positions (direct):
1 Nb 0.500 0.555 0.445
2 Ge 0.500 0.056 0.448
3 Ge 0.500 0.552 0.944
4 Th 0.000 0.053 0.947